Run P
Density functional theory data (PBE) for a relaxed structure of Nb2CuBi2.

abc: 7.399 7.399 3.950
angles: 90.00 90.00 90.00
Fractional coordinates of all 10 atoms:
Nb  0.141  0.359  0.000
Nb  0.359  0.859  0.000
Nb  0.641  0.141  0.000
Nb  0.859  0.641  0.000
Cu  0.000  0.000  0.000
Cu  0.500  0.500  0.000
Bi  0.160  0.660  0.500
Bi  0.340  0.160  0.500
Bi  0.660  0.840  0.500
Bi  0.840  0.340  0.500

- SG: No. 127
- Calculated volume: 216.2 Å³/cell



Run Q
Density functional theory data (PBE) for a relaxed structure of Nb2CuBi2.

abc: 7.341 7.341 7.341
angles: 145.86 145.86 49.05
Fractional coordinates of all 5 atoms:
Nb  0.089  0.089  0.000
Nb  0.911  0.911  0.000
Cu  0.500  0.500  0.000
Bi  0.250  0.750  0.500
Bi  0.750  0.250  0.500

- SG: No. 139
- Calculated volume: 124.0 Å³/cell



Question: which arrangement is favored energetically? Ranking from most to least stable: run P, run Q.



Run P
Density functional theory data (PBE) for a relaxed structure of Cu6BiO8.

abc: 5.574 5.574 5.574
angles: 90.00 90.00 90.00
Fractional coordinates of all 15 atoms:
Cu  0.000  0.267  0.500
Cu  0.000  0.733  0.500
Cu  0.267  0.500  0.000
Cu  0.500  0.000  0.267
Cu  0.500  0.000  0.733
Cu  0.733  0.500  0.000
Bi  0.000  0.000  0.000
O  0.245  0.245  0.245
O  0.245  0.245  0.755
O  0.245  0.755  0.245
O  0.245  0.755  0.755
O  0.755  0.245  0.245
O  0.755  0.245  0.755
O  0.755  0.755  0.245
O  0.755  0.755  0.755

- SG: No. 200
- Calculated volume: 173.2 Å³/cell



Run Q
Density functional theory data (PBE) for a relaxed structure of Cu6BiO8.

abc: 6.635 6.635 6.635
angles: 60.00 60.00 60.00
Fractional coordinates of all 15 atoms:
Cu  0.000  0.000  0.500
Cu  0.000  0.500  0.000
Cu  0.000  0.500  0.500
Cu  0.500  0.000  0.000
Cu  0.500  0.000  0.500
Cu  0.500  0.500  0.000
Bi  0.000  0.000  0.000
O  0.145  0.145  0.145
O  0.145  0.145  0.566
O  0.145  0.566  0.145
O  0.434  0.855  0.855
O  0.566  0.145  0.145
O  0.855  0.434  0.855
O  0.855  0.855  0.434
O  0.855  0.855  0.855

- SG: No. 225
- Calculated volume: 206.6 Å³/cell



Question: which arrangement is favored energetically? Ranking from most to least stable: run Q, run P.



Run P
Density functional theory data (PBE) for a relaxed structure of CuBi3O.

abc: 5.173 5.173 5.173
angles: 90.00 90.00 90.00
Fractional coordinates of all 5 atoms:
Cu  0.000  0.000  0.000
Bi  0.000  0.000  0.500
Bi  0.000  0.500  0.000
Bi  0.500  0.000  0.000
O  0.500  0.500  0.500

- SG: No. 221
- Calculated volume: 138.4 Å³/cell



Run Q
Density functional theory data (PBE) for a relaxed structure of CuBi3O.

abc: 4.911 4.911 4.911
angles: 90.00 90.00 90.00
Fractional coordinates of all 5 atoms:
Cu  0.000  0.000  0.000
Bi  0.000  0.500  0.500
Bi  0.500  0.000  0.500
Bi  0.500  0.500  0.000
O  0.500  0.500  0.500

- SG: No. 221
- Calculated volume: 118.4 Å³/cell



Question: which arrangement is favored energetically? Ranking from most to least stable: run Q, run P.



Run P
Density functional theory data (PBE) for a relaxed structure of Cu3BiO4.

abc: 5.744 5.744 5.744
angles: 90.00 90.00 90.00
Fractional coordinates of all 16 atoms:
Cu  0.000  0.250  0.500
Cu  0.000  0.750  0.500
Cu  0.250  0.500  0.000
Cu  0.500  0.000  0.250
Cu  0.500  0.000  0.750
Cu  0.750  0.500  0.000
Bi  0.000  0.000  0.000
Bi  0.500  0.500  0.500
O  0.250  0.250  0.250
O  0.250  0.250  0.750
O  0.250  0.750  0.250
O  0.250  0.750  0.750
O  0.750  0.250  0.250
O  0.750  0.250  0.750
O  0.750  0.750  0.250
O  0.750  0.750  0.750

- SG: No. 223
- Calculated volume: 189.5 Å³/cell



Run Q
Density functional theory data (PBE) for a relaxed structure of Cu3BiO4.

abc: 5.368 5.368 5.368
angles: 90.00 90.00 90.00
Fractional coordinates of all 8 atoms:
Cu  0.000  0.000  0.500
Cu  0.000  0.500  0.000
Cu  0.500  0.000  0.000
Bi  0.000  0.000  0.000
O  0.228  0.228  0.228
O  0.228  0.772  0.772
O  0.772  0.228  0.772
O  0.772  0.772  0.228

- SG: No. 215
- Calculated volume: 154.7 Å³/cell



Question: which arrangement is favored energetically? Ranking from most to least stable: run P, run Q.



Run P
Density functional theory data (PBE) for a relaxed structure of CuBiP2O.

abc: 4.790 4.790 3.705
angles: 90.00 90.00 90.00
Fractional coordinates of all 5 atoms:
Cu  0.000  0.000  0.000
Bi  0.500  0.500  0.500
P  0.000  0.500  0.000
P  0.500  0.000  0.000
O  0.000  0.000  0.500

- SG: No. 123
- Calculated volume: 85.0 Å³/cell



Run Q
Density functional theory data (PBE) for a relaxed structure of CuBiP2O.

abc: 5.304 5.304 4.102
angles: 90.00 90.00 90.00
Fractional coordinates of all 5 atoms:
Cu  0.000  0.000  0.000
Bi  0.500  0.500  0.500
P  0.000  0.500  0.500
P  0.500  0.000  0.500
O  0.500  0.500  0.000

- SG: No. 123
- Calculated volume: 115.4 Å³/cell



Question: which arrangement is favored energetically? Ranking from most to least stable: run P, run Q.



Run P
Density functional theory data (PBE) for a relaxed structure of CuBiP2O8.

abc: 5.458 6.196 10.735
angles: 90.00 97.87 90.00
Fractional coordinates of all 24 atoms:
Cu  0.179  0.250  0.174
Cu  0.821  0.750  0.826
Bi  0.429  0.250  0.705
Bi  0.571  0.750  0.295
P  0.061  0.750  0.099
P  0.353  0.750  0.607
P  0.647  0.250  0.393
P  0.939  0.250  0.901
O  0.081  0.750  0.957
O  0.206  0.250  0.877
O  0.214  0.551  0.650
O  0.214  0.949  0.650
O  0.224  0.557  0.164
O  0.224  0.943  0.164
O  0.357  0.750  0.464
O  0.367  0.250  0.334
O  0.633  0.750  0.666
O  0.643  0.250  0.536
O  0.776  0.057  0.836
O  0.776  0.443  0.836
O  0.786  0.051  0.350
O  0.786  0.449  0.350
O  0.794  0.750  0.123
O  0.919  0.250  0.043

- SG: No. 11
- Calculated volume: 359.6 Å³/cell



Run Q
Density functional theory data (PBE) for a relaxed structure of CuBiP2O8.

abc: 5.180 5.180 6.632
angles: 90.00 90.00 120.00
Fractional coordinates of all 12 atoms:
Cu  0.000  0.000  0.000
Bi  0.000  0.000  0.500
P  0.333  0.667  0.732
P  0.667  0.333  0.268
O  0.167  0.335  0.798
O  0.167  0.833  0.798
O  0.333  0.667  0.499
O  0.335  0.167  0.202
O  0.665  0.833  0.798
O  0.667  0.333  0.501
O  0.833  0.167  0.202
O  0.833  0.665  0.202

- SG: No. 164
- Calculated volume: 154.1 Å³/cell



Question: which arrangement is favored energetically? Ranking from most to least stable: run P, run Q.



Run P
Density functional theory data (PBE) for a relaxed structure of Sr2CuBiO6.

abc: 6.389 6.389 5.136
angles: 111.99 111.99 51.13
Fractional coordinates of all 10 atoms:
Sr  0.243  0.243  0.207
Sr  0.757  0.757  0.793
Cu  0.000  0.000  0.500
Bi  0.500  0.500  0.000
O  0.161  0.698  0.214
O  0.302  0.839  0.786
O  0.305  0.305  0.727
O  0.695  0.695  0.273
O  0.698  0.161  0.214
O  0.839  0.302  0.786

- SG: No. 12
- Calculated volume: 148.5 Å³/cell



Run Q
Density functional theory data (PBE) for a relaxed structure of Sr2CuBiO6.

abc: 5.775 5.775 5.775
angles: 60.00 60.00 60.00
Fractional coordinates of all 10 atoms:
Sr  0.250  0.250  0.250
Sr  0.750  0.750  0.750
Cu  0.000  0.000  0.000
Bi  0.500  0.500  0.500
O  0.240  0.240  0.760
O  0.240  0.760  0.240
O  0.240  0.760  0.760
O  0.760  0.240  0.240
O  0.760  0.240  0.760
O  0.760  0.760  0.240

- SG: No. 225
- Calculated volume: 136.2 Å³/cell



Question: which arrangement is favored energetically? Ranking from most to least stable: run P, run Q.



Run P
Density functional theory data (PBE) for a relaxed structure of Sr2YbCu2Bi2O8.

abc: 15.689 15.689 5.314
angles: 90.00 90.00 159.81
Fractional coordinates of all 30 atoms:
Sr  0.107  0.385  0.000
Sr  0.385  0.107  0.500
Sr  0.615  0.893  0.500
Sr  0.893  0.615  0.000
Yb  0.000  0.500  0.000
Yb  0.500  0.000  0.500
Cu  0.050  0.450  0.500
Cu  0.450  0.050  0.000
Cu  0.550  0.950  0.000
Cu  0.950  0.550  0.500
Bi  0.221  0.317  0.500
Bi  0.317  0.221  0.000
Bi  0.683  0.779  0.000
Bi  0.779  0.683  0.500
O  0.109  0.340  0.500
O  0.201  0.799  0.250
O  0.201  0.799  0.750
O  0.287  0.389  0.000
O  0.301  0.699  0.250
O  0.301  0.699  0.750
O  0.340  0.109  0.000
O  0.389  0.287  0.500
O  0.611  0.713  0.500
O  0.660  0.891  0.000
O  0.699  0.301  0.250
O  0.699  0.301  0.750
O  0.713  0.611  0.000
O  0.799  0.201  0.250
O  0.799  0.201  0.750
O  0.891  0.660  0.500

- SG: No. 66
- Calculated volume: 451.4 Å³/cell



Run Q
Density functional theory data (PBE) for a relaxed structure of Sr2YbCu2Bi2O8.

abc: 15.789 15.789 15.789
angles: 166.27 166.27 19.46
Fractional coordinates of all 15 atoms:
Sr  0.111  0.111  0.000
Sr  0.889  0.889  0.000
Yb  0.000  0.000  0.000
Cu  0.450  0.450  0.000
Cu  0.550  0.550  0.000
Bi  0.299  0.299  0.000
Bi  0.701  0.701  0.000
O  0.050  0.550  0.500
O  0.200  0.200  0.000
O  0.366  0.366  0.000
O  0.450  0.950  0.500
O  0.550  0.050  0.500
O  0.634  0.634  0.000
O  0.800  0.800  0.000
O  0.950  0.450  0.500

- SG: No. 139
- Calculated volume: 221.6 Å³/cell



Question: which arrangement is favored energetically? Ranking from most to least stable: run P, run Q.